Compound: UMn2GeO8
Source: the Alexandria database
Functional: PBE+U
Structure: optimized geometry

Unit cell a=4.567 b=4.568 c=6.560 alpha=90.00 beta=90.00 gamma=89.53
Each line ends with the local moment (μB).
Atoms (fractional coordinates):
U1 0.000 0.000 0.500  0.17
Mn1 0.500 0.500 0.774  3.87
Mn2 0.500 0.500 0.226  3.87
Ge1 0.000 0.000 0.000  0.04
O1 0.200 0.800 0.233  -0.04
O2 0.715 0.715 0.000  0.02
O3 0.800 0.200 0.233  -0.04
O4 0.800 0.200 0.767  -0.04
O5 0.285 0.285 0.000  0.02
O6 0.200 0.800 0.767  -0.04
O7 0.696 0.695 0.500  -0.01
O8 0.304 0.305 0.500  -0.01

Values from the calculation:
Magnetic moment = 8.00 μB/f.u.
E = -94.253 eV for the cell shown
Crystal system = orthorhombic
Calculated density = 6.66 g cm⁻³
Symmetry = Cmmm (65)